1.
A plane-wave DFT calculation with GGA-PBE was carried out for crystalline TaNb2Ni2 at its relaxed geometry.

The structure in POSCAR format:
```
TaNb2Ni2
1.0
7.1060 0.0000 0.0000
0.0000 7.1060 0.0000
0.0000 0.0000 3.0621
Ta Nb Ni
2 4 4
direct
0.0000 0.0000 0.0000 Ta
0.5000 0.5000 0.0000 Ta
0.1764 0.3236 0.5000 Nb
0.3236 0.8236 0.5000 Nb
0.6764 0.1764 0.5000 Nb
0.8236 0.6764 0.5000 Nb
0.1206 0.6206 0.0000 Ni
0.3794 0.1206 0.0000 Ni
0.6206 0.8794 0.0000 Ni
0.8794 0.3794 0.0000 Ni
```

- Theoretical density: 10.4 g cm⁻³
- E above lowest polymorph: 0.000 eV/atom

***

2.
A plane-wave DFT calculation with GGA-PBE was carried out for crystalline TaNbNi4 at its relaxed geometry.

The structure in POSCAR format:
```
TaNbNi4
1.0
0.0000 3.3938 3.3938
3.3938 0.0000 3.3938
3.3938 3.3938 0.0000
Ta Nb Ni
1 1 4
direct
0.0000 0.0000 0.0000 Ta
0.2500 0.2500 0.2500 Nb
0.1252 0.6249 0.6249 Ni
0.6249 0.1252 0.6249 Ni
0.6249 0.6249 0.1252 Ni
0.6249 0.6249 0.6249 Ni
```

- Theoretical density: 10.8 g cm⁻³
- E above lowest polymorph: 0.000 eV/atom

***

3.
A plane-wave DFT calculation with GGA-PBE was carried out for crystalline TaNbNi at its relaxed geometry.

The structure in POSCAR format:
```
TaNbNi
1.0
0.0000 2.1401 6.2024
1.7823 0.0000 6.2024
1.7823 2.1401 0.0000
Ta Nb Ni
1 1 1
direct
0.0000 0.0000 0.0000 Ta
0.3114 0.3114 0.6886 Nb
0.6535 0.6535 0.3465 Ni
```

- Theoretical density: 11.7 g cm⁻³
- E above lowest polymorph: 0.092 eV/atom

***

4.
A plane-wave DFT calculation with GGA-PBE was carried out for crystalline TaNbNi at its relaxed geometry.

The structure in POSCAR format:
```
TaNbNi
1.0
2.8452 0.0000 0.0000
-1.3737 5.4605 0.0000
-0.5852 -1.4663 6.1384
Ta Nb Ni
2 2 2
direct
0.0000 0.0000 0.0000 Ta
0.1822 0.0774 0.5730 Ta
0.2578 0.6139 0.6643 Nb
0.4443 0.6862 0.2405 Nb
0.7047 0.2849 0.3088 Ni
0.7346 0.3893 0.9256 Ni
```

- Theoretical density: 11.6 g cm⁻³
- E above lowest polymorph: 0.113 eV/atom

***

5.
A plane-wave DFT calculation with GGA-PBE was carried out for crystalline TaNbNi3 at its relaxed geometry.

The structure in POSCAR format:
```
TaNbNi3
1.0
4.4258 0.0000 0.0000
0.0000 4.4258 0.0000
0.0000 0.0000 4.4258
Ta Nb Ni
1 1 3
direct
0.0000 0.0000 0.0000 Ta
0.5000 0.5000 0.5000 Nb
0.0000 0.0000 0.5000 Ni
0.0000 0.5000 0.0000 Ni
0.5000 0.0000 0.0000 Ni
```

- Theoretical density: 8.6 g cm⁻³
- E above lowest polymorph: 1.218 eV/atom

***

6.
A plane-wave DFT calculation with GGA-PBE was carried out for crystalline TaNbNi2 at its relaxed geometry.

The structure in POSCAR format:
```
TaNbNi2
1.0
3.8905 0.0000 0.0000
0.0000 3.8905 0.0000
0.0000 0.0000 3.8105
Ta Nb Ni
1 1 2
direct
0.0000 0.0000 0.0000 Ta
0.5000 0.5000 0.0000 Nb
0.0000 0.5000 0.5000 Ni
0.5000 0.0000 0.5000 Ni
```

- Theoretical density: 11.3 g cm⁻³
- E above lowest polymorph: 0.000 eV/atom

***

7.
A plane-wave DFT calculation with GGA-PBE was carried out for crystalline TaNbNi2 at its relaxed geometry.

The structure in POSCAR format:
```
TaNbNi2
1.0
0.0000 3.0828 3.0828
3.0828 0.0000 3.0828
3.0828 3.0828 0.0000
Ta Nb Ni
1 1 2
direct
0.0000 0.0000 0.0000 Ta
0.5000 0.5000 0.5000 Nb
0.2500 0.2500 0.2500 Ni
0.7500 0.7500 0.7500 Ni
```

- Theoretical density: 11.1 g cm⁻³
- E above lowest polymorph: 0.114 eV/atom

***

8.
A plane-wave DFT calculation with GGA-PBE was carried out for crystalline TaNbNi at its relaxed geometry.

The structure in POSCAR format:
```
TaNbNi
1.0
1.7796 -6.2150 0.0000
1.7796 6.2150 0.0000
0.0000 0.0000 4.2739
Ta Nb Ni
2 2 2
direct
0.0942 0.9058 0.7500 Ta
0.9058 0.0942 0.2500 Ta
0.4057 0.5943 0.7500 Nb
0.5943 0.4057 0.2500 Nb
0.2508 0.7492 0.2500 Ni
0.7492 0.2508 0.7500 Ni
```

- Theoretical density: 11.7 g cm⁻³
- E above lowest polymorph: 0.088 eV/atom

***

9.
A plane-wave DFT calculation with GGA-PBE was carried out for crystalline TaNbNi2 at its relaxed geometry.

The structure in POSCAR format:
```
TaNbNi2
1.0
1.4234 -6.3396 0.0000
1.4234 6.3396 0.0000
0.0000 0.0000 6.5290
Ta Nb Ni
2 2 4
direct
0.2490 0.7510 0.7500 Ta
0.7510 0.2490 0.2500 Ta
0.4607 0.5393 0.2500 Nb
0.5393 0.4607 0.7500 Nb
0.1078 0.8922 0.0578 Ni
0.1078 0.8922 0.4422 Ni
0.8922 0.1078 0.5578 Ni
0.8922 0.1078 0.9422 Ni
```

- Theoretical density: 11.0 g cm⁻³
- E above lowest polymorph: 0.059 eV/atom

***

10.
A plane-wave DFT calculation with GGA-PBE was carried out for crystalline Ta2NbZnNi at its relaxed geometry.

The structure in POSCAR format:
```
Ta2NbZnNi
1.0
4.8233 0.0000 0.0000
0.0000 4.8233 0.0000
0.0000 0.0000 4.8766
Ta Nb Zn Ni
2 1 1 1
direct
0.0000 0.5000 0.0000 Ta
0.5000 0.0000 0.0000 Ta
0.0000 0.0000 0.0000 Nb
0.0000 0.0000 0.5000 Zn
0.5000 0.5000 0.5000 Ni
```

- Theoretical density: 8.5 g cm⁻³

***

11.
A plane-wave DFT calculation with GGA-PBE was carried out for crystalline ZrTaNbNi at its relaxed geometry.

The structure in POSCAR format:
```
ZrTaNbNi
1.0
0.0000 3.2584 3.2584
3.2584 0.0000 3.2584
3.2584 3.2584 0.0000
Zr Ta Nb Ni
1 1 1 1
direct
0.0000 0.0000 0.0000 Zr
0.5000 0.5000 0.5000 Ta
0.7500 0.7500 0.7500 Nb
0.2500 0.2500 0.2500 Ni
```

- Theoretical density: 10.2 g cm⁻³

***

12.
A plane-wave DFT calculation with GGA-PBE was carried out for crystalline TbNbNi at its relaxed geometry.

The structure in POSCAR format:
```
TbNbNi
1.0
3.2672 0.0000 0.0000
0.0000 3.2672 0.0000
0.0000 0.0000 10.7569
Tb Nb Ni
2 2 2
direct
0.0000 0.0000 0.1616 Tb
0.0000 0.0000 0.8384 Tb
0.5000 0.5000 0.3695 Nb
0.5000 0.5000 0.6305 Nb
0.0000 0.0000 0.5000 Ni
0.5000 0.5000 0.0000 Ni
```

- Theoretical density: 9.0 g cm⁻³

***

13.
A plane-wave DFT calculation with GGA-PBE was carried out for crystalline Tb2NbNi at its relaxed geometry.

The structure in POSCAR format:
```
Tb2NbNi
1.0
1.6397 0.9467 9.8964
-1.6397 0.9467 9.8964
0.0000 -1.8934 9.8964
Tb Nb Ni
2 1 1
direct
0.1003 0.1003 0.1003 Tb
0.8997 0.8997 0.8997 Tb
0.0000 0.0000 0.0000 Nb
0.5000 0.5000 0.5000 Ni
```

- Theoretical density: 8.5 g cm⁻³

***

14.
A plane-wave DFT calculation with GGA-PBE was carried out for crystalline TbNbNi4 at its relaxed geometry.

The structure in POSCAR format:
```
TbNbNi4
1.0
0.0000 3.5008 3.5008
3.5008 0.0000 3.5008
3.5008 3.5008 0.0000
Tb Nb Ni
1 1 4
direct
0.0000 0.0000 0.0000 Tb
0.7500 0.7500 0.7500 Nb
0.3756 0.3756 0.3756 Ni
0.3756 0.3756 0.8732 Ni
0.3756 0.8732 0.3756 Ni
0.8732 0.3756 0.3756 Ni
```

- Theoretical density: 9.4 g cm⁻³

***

15.
A plane-wave DFT calculation with GGA-PBE was carried out for crystalline Nb4TcNi2 at its relaxed geometry.

The structure in POSCAR format:
```
Nb4TcNi2
1.0
-2.3619 2.3619 6.1544
2.3619 -2.3619 6.1544
2.3619 2.3619 -6.1544
Nb Tc Ni
4 1 2
direct
0.0000 0.5000 0.5000 Nb
0.2074 0.2074 0.0000 Nb
0.5000 0.0000 0.5000 Nb
0.7926 0.7926 0.0000 Nb
0.0000 0.0000 0.0000 Tc
0.3992 0.3992 0.0000 Ni
0.6008 0.6008 0.0000 Ni
```

- Theoretical density: 7.1 g cm⁻³

***

16.
A plane-wave DFT calculation with GGA-PBE was carried out for crystalline NbTc2Ni2 at its relaxed geometry.

The structure in POSCAR format:
```
NbTc2Ni2
1.0
6.6643 0.0000 0.0000
0.0000 6.6643 0.0000
0.0000 0.0000 3.1398
Nb Tc Ni
2 4 4
direct
0.0000 0.0000 0.0000 Nb
0.5000 0.5000 0.0000 Nb
0.1691 0.3309 0.5000 Tc
0.3309 0.8309 0.5000 Tc
0.6691 0.1691 0.5000 Tc
0.8309 0.6691 0.5000 Tc
0.1248 0.6248 0.0000 Ni
0.3752 0.1248 0.0000 Ni
0.6248 0.8752 0.0000 Ni
0.8752 0.3752 0.0000 Ni
```

- Theoretical density: 9.7 g cm⁻³
- E above lowest polymorph: 0.000 eV/atom

***

17.
A plane-wave DFT calculation with GGA-PBE was carried out for crystalline NbTcNi2 at its relaxed geometry.

The structure in POSCAR format:
```
NbTcNi2
1.0
3.7756 0.0000 0.0000
0.0000 3.7756 0.0000
0.0000 0.0000 3.7907
Nb Tc Ni
1 1 2
direct
0.0000 0.0000 0.0000 Nb
0.5000 0.5000 0.0000 Tc
0.0000 0.5000 0.5000 Ni
0.5000 0.0000 0.5000 Ni
```

- Theoretical density: 9.5 g cm⁻³
- E above lowest polymorph: 0.000 eV/atom

***

18.
A plane-wave DFT calculation with GGA-PBE was carried out for crystalline Nb2TcNi at its relaxed geometry.

The structure in POSCAR format:
```
Nb2TcNi
1.0
-3.4844 3.4844 2.7180
3.4844 -3.4844 2.7180
3.4844 3.4844 -2.7180
Nb Tc Ni
4 2 2
direct
0.1171 0.6250 0.9921 Nb
0.3750 0.3671 0.4921 Nb
0.6329 0.1250 0.0079 Nb
0.8750 0.8829 0.5079 Nb
0.2500 0.7500 0.5000 Tc
0.5000 0.5000 0.0000 Tc
0.0000 0.0000 0.0000 Ni
0.7500 0.2500 0.5000 Ni
```

- Theoretical density: 8.6 g cm⁻³

***

19.
A plane-wave DFT calculation with GGA-PBE was carried out for crystalline NbTc2Ni at its relaxed geometry.

The structure in POSCAR format:
```
NbTc2Ni
1.0
0.0000 3.0873 3.0873
3.0873 0.0000 3.0873
3.0873 3.0873 0.0000
Nb Tc Ni
1 2 1
direct
0.0000 0.0000 0.0000 Nb
0.2500 0.2500 0.2500 Tc
0.7500 0.7500 0.7500 Tc
0.5000 0.5000 0.5000 Ni
```

- Theoretical density: 9.8 g cm⁻³
- E above lowest polymorph: 0.207 eV/atom

***

20.
A plane-wave DFT calculation with GGA-PBE was carried out for crystalline NbTcNi2 at its relaxed geometry.

The structure in POSCAR format:
```
NbTcNi2
1.0
0.0000 3.0151 3.0151
3.0151 0.0000 3.0151
3.0151 3.0151 0.0000
Nb Tc Ni
1 1 2
direct
0.0000 0.0000 0.0000 Nb
0.5000 0.5000 0.5000 Tc
0.2500 0.2500 0.2500 Ni
0.7500 0.7500 0.7500 Ni
```

- Theoretical density: 9.3 g cm⁻³
- E above lowest polymorph: 0.252 eV/atom

***

21.
A plane-wave DFT calculation with GGA-PBE was carried out for crystalline Nb3TcNi at its relaxed geometry.

The structure in POSCAR format:
```
Nb3TcNi
1.0
4.7643 0.0000 0.0000
0.0000 4.7643 0.0000
0.0000 0.0000 4.7643
Nb Tc Ni
3 1 1
direct
0.0000 0.0000 0.5000 Nb
0.0000 0.5000 0.0000 Nb
0.5000 0.0000 0.0000 Nb
0.0000 0.0000 0.0000 Tc
0.5000 0.5000 0.5000 Ni
```

- Theoretical density: 6.7 g cm⁻³
- E above lowest polymorph: 0.285 eV/atom

***

22.
A plane-wave DFT calculation with GGA-PBE was carried out for crystalline NbTcNi2 at its relaxed geometry.

The structure in POSCAR format:
```
NbTcNi2
1.0
-1.8201 1.8201 8.9414
1.8201 -1.8201 8.9414
1.8201 1.8201 -8.9414
Nb Tc Ni
2 2 4
direct
0.0000 0.0000 0.0000 Nb
0.7500 0.2500 0.5000 Nb
0.2500 0.7500 0.5000 Tc
0.5000 0.5000 0.0000 Tc
0.1364 0.6250 0.0114 Ni
0.3750 0.3864 0.5114 Ni
0.6136 0.1250 0.9886 Ni
0.8750 0.8636 0.4886 Ni
```

- Theoretical density: 8.6 g cm⁻³
- E above lowest polymorph: 0.539 eV/atom

***

23.
A plane-wave DFT calculation with GGA-PBE was carried out for crystalline Nb2TcNi at its relaxed geometry.

The structure in POSCAR format:
```
Nb2TcNi
1.0
4.4192 0.0000 0.0000
0.0000 4.4192 0.0000
0.0000 0.0000 3.1998
Nb Tc Ni
2 1 1
direct
0.0000 0.5000 0.0000 Nb
0.5000 0.0000 0.0000 Nb
0.0000 0.0000 0.5000 Tc
0.5000 0.5000 0.5000 Ni
```

- Theoretical density: 9.1 g cm⁻³

***

24.
A plane-wave DFT calculation with GGA-PBE was carried out for crystalline NbTc2Ni at its relaxed geometry.

The structure in POSCAR format:
```
NbTc2Ni
1.0
3.8198 0.0000 0.0000
0.0000 3.8198 0.0000
0.0000 0.0000 3.9697
Nb Tc Ni
1 2 1
direct
0.0000 0.0000 0.0000 Nb
0.0000 0.5000 0.5000 Tc
0.5000 0.0000 0.5000 Tc
0.5000 0.5000 0.0000 Ni
```

- Theoretical density: 10.0 g cm⁻³
- E above lowest polymorph: 0.000 eV/atom

***

25.
A plane-wave DFT calculation with GGA-PBE was carried out for crystalline NbTc2Ni at its relaxed geometry.

The structure in POSCAR format:
```
NbTc2Ni
1.0
-1.8580 1.8580 9.1685
1.8580 -1.8580 9.1685
1.8580 1.8580 -9.1685
Nb Tc Ni
2 4 2
direct
0.0000 0.0000 0.0000 Nb
0.7500 0.2500 0.5000 Nb
0.1624 0.6250 0.0374 Tc
0.3750 0.4124 0.5374 Tc
0.5876 0.1250 0.9626 Tc
0.8750 0.8376 0.4626 Tc
0.2500 0.7500 0.5000 Ni
0.5000 0.5000 0.0000 Ni
```

- Theoretical density: 9.1 g cm⁻³
- E above lowest polymorph: 0.567 eV/atom

***

26.
A plane-wave DFT calculation with GGA-PBE was carried out for crystalline NbTc2Ni2 at its relaxed geometry.

The structure in POSCAR format:
```
NbTc2Ni2
1.0
7.2934 0.0000 0.0000
0.0000 7.2934 0.0000
0.0000 0.0000 2.6537
Nb Tc Ni
2 4 4
direct
0.0000 0.0000 0.0000 Nb
0.5000 0.5000 0.0000 Nb
0.1220 0.3780 0.0000 Tc
0.3780 0.8780 0.0000 Tc
0.6220 0.1220 0.0000 Tc
0.8780 0.6220 0.0000 Tc
0.1734 0.6734 0.5000 Ni
0.3266 0.1734 0.5000 Ni
0.6734 0.8266 0.5000 Ni
0.8266 0.3266 0.5000 Ni
```

- Theoretical density: 9.6 g cm⁻³
- E above lowest polymorph: 0.006 eV/atom

***

27.
A plane-wave DFT calculation with GGA-PBE was carried out for crystalline Nb2TcNi at its relaxed geometry.

The structure in POSCAR format:
```
Nb2TcNi
1.0
3.2154 0.0000 0.0000
0.0000 3.2154 0.0000
0.0000 0.0000 6.0116
Nb Tc Ni
2 1 1
direct
0.0000 0.0000 0.2442 Nb
0.0000 0.0000 0.7558 Nb
0.5000 0.5000 0.5000 Tc
0.5000 0.5000 0.0000 Ni
```

- Theoretical density: 9.2 g cm⁻³

***

Let's list formation energy in order: -0.076, -0.214, -0.112, -0.091, 1.186, -0.165, -0.051, -0.116, -0.106, 1.749, -0.038, 0.021, 0.496, -0.184, 0.933, 0.100, -0.157, 0.364, 0.097, 0.095, 1.306, 0.382, -0.150, -0.111, 0.456, 0.106, -0.180 eV/atom.